# AuN2OF, relaxed, DFT PBE
# E_tot: -17.63 eV/cell
# formation energy (no corrections): 1.826 eV per atom
# calculated density: 6.11 g/cm³
data_AuN2OF
_chemical_formula_sum 'Au1 N2 O1 F1'
_cell_length_a 4.1697
_cell_length_b 4.1697
_cell_length_c 4.0628
_cell_angle_alpha 90.00
_cell_angle_beta 90.00
_cell_angle_gamma 90.00
_space_group_name_H-M_alt 'P 4/m m m'
_space_group_IT_number 123
_space_group_name_Hall '-P 4 2'
loop_
_atom_site_label
_atom_site_fract_x
_atom_site_fract_y
_atom_site_fract_z
Au1 0.0000 0.0000 0.0000
N1 0.0000 0.5000 0.0000
O1 0.0000 0.0000 0.5000
F1 0.5000 0.5000 0.5000